Ac2Ce2Sb5 | the Alexandria database | GGA-PBE | optimized geometry; formation energy without anion corrections = -0.972 eV per atom; total energy = -5.494 eV per atom; size of the total moment = 0.528 Bohr magnetons per cell; symmetry = Cmce, No. 64; D(E_F) = 0.7838 states/eV per atom
1.0
8.243 -4.226 0.000
8.243 4.226 0.000
0.000 0.000 8.484
Ac Ce Sb
4 4 10
Cartesian
3.268 0.000 0.000 Ac
4.975 0.000 4.242 Ac
11.511 0.000 4.242 Ac
13.218 0.000 0.000 Ac
8.243 2.934 5.553 Ce
8.243 1.292 1.311 Ce
8.243 -1.292 7.174 Ce
8.243 -2.934 2.931 Ce
0.000 0.000 0.000 Sb
6.134 2.959 2.980 Sb
6.134 1.267 7.222 Sb
10.352 2.959 2.980 Sb
10.352 1.267 7.222 Sb
8.243 0.000 4.242 Sb
6.134 -1.267 1.262 Sb
6.134 -2.959 5.504 Sb
10.352 -1.267 1.262 Sb
10.352 -2.959 5.504 Sb



AcCe4Sb5 | the Alexandria database | GGA-PBE | optimized geometry; formation energy without anion corrections = -1.064 eV per atom; total energy = -5.910 eV per atom; size of the total moment = 3.386 Bohr magnetons per cell; symmetry = C2/m, No. 12; D(E_F) = 2.4872 states/eV per atom
1.0
7.573 -2.283 0.000
7.573 2.283 0.000
-5.506 0.000 9.734
Ac Ce Sb
1 4 5
Cartesian
0.000 0.000 0.000 Ac
-1.320 0.000 7.745 Ce
2.792 0.000 5.861 Ce
6.848 0.000 3.874 Ce
10.960 0.000 1.989 Ce
-2.753 0.000 4.867 Sb
1.376 0.000 3.022 Sb
5.364 0.000 1.021 Sb
4.276 0.000 8.714 Sb
8.263 0.000 6.712 Sb



AcCeSb2 | the Alexandria database | GGA-PBE | optimized geometry; energy relative to the lowest polymorph listed for this composition = 220 meV per atom; formation energy without anion corrections = -0.899 eV per atom; total energy = -5.471 eV per atom; size of the total moment = 0.836 Bohr magnetons per cell; symmetry = P4/mmm, No. 123; D(E_F) = 1.5735 states/eV per atom
1.0
3.975 0.000 0.000
0.000 3.975 0.000
0.000 0.000 7.918
Ac Ce Sb
1 1 2
Cartesian
0.000 0.000 0.000 Ac
0.000 0.000 3.959 Ce
1.987 1.987 2.119 Sb
1.987 1.987 5.799 Sb



AcCeSb2 | the Alexandria database | GGA-PBE | optimized geometry; energy relative to the lowest polymorph listed for this composition = 0 meV per atom; formation energy without anion corrections = -1.119 eV per atom; total energy = -5.691 eV per atom; size of the total moment = 0.817 Bohr magnetons per cell; symmetry = R-3m, No. 166; D(E_F) = 1.6354 states/eV per atom
1.0
2.327 1.343 7.607
-2.327 1.343 7.607
0.000 -2.686 7.607
Ac Ce Sb
1 1 2
Cartesian
0.000 0.000 0.000 Ac
0.000 0.000 11.411 Ce
0.000 0.000 5.569 Sb
0.000 0.000 17.253 Sb



AcCeSbSe | the Alexandria database | GGA-PBE | optimized geometry; energy relative to the lowest polymorph listed for this composition = 0 meV per atom; formation energy without anion corrections = -1.223 eV per atom; total energy = -5.636 eV per atom; size of the total moment = 1.751 Bohr magnetons per cell; symmetry = F-43m, No. 216; D(E_F) = 1.8505 states/eV per atom
1.0
0.000 3.887 3.887
3.887 0.000 3.887
3.887 3.887 0.000
Ac Ce Sb Se
1 1 1 1
Cartesian
0.000 0.000 0.000 Ac
3.887 3.887 3.887 Ce
5.831 5.831 5.831 Sb
1.944 1.944 1.944 Se



AcCeSbSe | the Alexandria database | GGA-PBE | optimized geometry; energy relative to the lowest polymorph listed for this composition = 79 meV per atom; formation energy without anion corrections = -1.145 eV per atom; total energy = -5.557 eV per atom; size of the total moment = 4.014 Bohr magnetons per cell; symmetry = P4/nmm, No. 129; D(E_F) = 1.4819 states/eV per atom
1.0
5.076 0.000 0.000
0.000 5.076 0.000
0.000 0.000 10.813
Ac Ce Sb Se
2 2 2 2
Cartesian
1.269 1.269 1.646 Ac
3.807 3.807 9.167 Ac
1.269 3.807 5.407 Ce
3.807 1.269 5.407 Ce
1.269 1.269 7.390 Sb
3.807 3.807 3.423 Sb
1.269 3.807 0.000 Se
3.807 1.269 0.000 Se



AcCe2SmSb4 | the Alexandria database | GGA-PBE | optimized geometry; formation energy without anion corrections = -1.103 eV per atom; total energy = -5.751 eV per atom; size of the total moment = 1.574 Bohr magnetons per cell; symmetry = P2/m, No. 10; D(E_F) = 1.6357 states/eV per atom
1.0
7.918 0.000 0.000
0.000 4.573 0.000
-2.638 0.000 7.475
Ac Ce Sm Sb
1 2 1 4
Cartesian
0.000 0.000 0.000 Ac
2.640 0.000 3.738 Ce
3.959 2.286 0.000 Ce
-1.319 2.286 3.738 Sm
0.061 0.000 5.555 Sb
1.382 2.286 1.966 Sb
3.898 2.286 5.509 Sb
5.219 0.000 1.920 Sb



Ac2CeSmSb4 | the Alexandria database | GGA-PBE | optimized geometry; formation energy without anion corrections = -1.152 eV per atom; total energy = -5.572 eV per atom; size of the total moment = 0.736 Bohr magnetons per cell; symmetry = P2/m, No. 10; D(E_F) = 0.8322 states/eV per atom
1.0
8.038 0.000 0.000
0.000 4.645 0.000
-2.680 0.000 7.592
Ac Ce Sm Sb
2 1 1 4
Cartesian
0.000 0.000 0.000 Ac
4.019 2.323 0.000 Ac
-1.340 2.323 3.796 Ce
2.679 0.000 3.796 Sm
0.000 0.000 5.555 Sb
1.337 2.323 2.035 Sb
4.021 2.323 5.557 Sb
5.357 0.000 2.037 Sb



AcCeSm2Sb4 | the Alexandria database | GGA-PBE | optimized geometry; formation energy without anion corrections = -1.137 eV per atom; total energy = -5.633 eV per atom; size of the total moment = 0.779 Bohr magnetons per cell; symmetry = P2/m, No. 10; D(E_F) = 0.8691 states/eV per atom
1.0
7.907 0.000 0.000
0.000 4.568 0.000
-2.633 0.000 7.462
Ac Ce Sm Sb
1 1 2 4
Cartesian
0.000 0.000 0.000 Ac
-1.317 2.284 3.731 Ce
2.637 0.000 3.731 Sm
3.954 2.284 0.000 Sm
0.067 0.000 5.555 Sb
1.380 2.284 1.956 Sb
3.894 2.284 5.506 Sb
5.207 0.000 1.906 Sb



Sr2AcCeSb4 | the Alexandria database | GGA-PBE | optimized geometry; formation energy without anion corrections = -0.981 eV per atom; total energy = -4.718 eV per atom; size of the total moment = 0.000 Bohr magnetons per cell; symmetry = P2/m, No. 10; D(E_F) = 1.1217 states/eV per atom
1.0
8.140 0.000 0.000
0.000 4.718 0.000
-2.743 0.000 7.681
Sr Ac Ce Sb
2 1 1 4
Cartesian
0.000 0.000 0.000 Sr
-1.372 2.359 3.841 Sr
2.698 0.000 3.841 Ac
4.070 2.359 0.000 Ce
1.475 2.359 1.836 Sb
0.096 0.000 5.923 Sb
5.300 0.000 1.758 Sb
3.922 2.359 5.845 Sb



Ac2TbCe3Sb6 | the Alexandria database | GGA-PBE | optimized geometry; formation energy without anion corrections = -1.096 eV per atom; total energy = -5.712 eV per atom; size of the total moment = 2.451 Bohr magnetons per cell; symmetry = C2/m, No. 12; D(E_F) = 1.6332 states/eV per atom
1.0
3.976 -6.886 0.000
3.976 6.886 0.000
-2.661 0.000 7.500
Ac Tb Ce Sb
2 1 3 6
Cartesian
3.976 4.611 0.000 Ac
3.976 -4.611 0.000 Ac
3.976 0.000 0.000 Tb
-1.330 0.000 3.750 Ce
2.645 2.350 3.750 Ce
2.645 -2.350 3.750 Ce
0.046 2.210 5.560 Sb
1.430 0.000 1.973 Sb
0.046 -2.210 5.560 Sb
5.244 2.210 1.939 Sb
3.861 0.000 5.526 Sb
5.244 -2.210 1.939 Sb



AcTb2CeSb4 | the Alexandria database | GGA-PBE | optimized geometry; formation energy without anion corrections = -1.119 eV per atom; total energy = -5.593 eV per atom; size of the total moment = 0.788 Bohr magnetons per cell; symmetry = P2/m, No. 10; D(E_F) = 0.8672 states/eV per atom
1.0
7.838 0.000 0.000
0.000 4.535 0.000
-2.618 0.000 7.411
Ac Tb Ce Sb
1 2 1 4
Cartesian
0.000 0.000 0.000 Ac
2.610 0.000 3.706 Tb
3.919 2.268 0.000 Tb
-1.309 2.268 3.706 Ce
0.093 0.000 5.530 Sb
1.399 2.268 1.953 Sb
3.821 2.268 5.458 Sb
5.127 0.000 1.881 Sb